Pr4SnHg5 | PBE | relaxed

Output
Total magnetic moment: 0.00 μB per formula unit
ΔE_f: -487 kJ/mol of formula units
SG: C2/m, No. 12

Structure (extended XYZ):
```
10
Lattice="4.996 0.000 -1.713 -0.550 6.398 -1.604 0.174 0.180 8.649" Properties=species:S:1:pos:R:3 pbc="T T T"
Pr 3.322 2.120 1.547
Pr 0.040 5.368 0.118
Pr 1.298 4.458 3.786
Pr 4.579 1.210 5.215
Sn 2.498 0.000 -0.856
Hg 1.411 1.141 4.115
Hg 0.333 2.349 0.972
Hg 4.286 4.229 4.360
Hg 2.223 3.199 -1.658
Hg 3.209 5.436 1.217
```

=====

Pr5SnHg4 | PBE | relaxed

Output
Total magnetic moment: 1.27 μB per formula unit
ΔE_f: -495 kJ/mol of formula units
SG: P4/mmm, No. 123

Structure (extended XYZ):
```
10
Lattice="-2.955 2.303 -0.793 -2.158 -1.898 2.531 5.836 12.406 14.280" Properties=species:S:1:pos:R:3 pbc="T T T"
Pr -1.955 1.482 2.342
Pr -0.794 3.950 5.183
Pr 0.361 6.405 8.009
Pr 1.516 8.861 10.835
Pr 2.677 11.329 13.676
Sn 0.000 0.000 0.000
Hg 1.198 2.547 2.932
Hg 2.336 4.965 5.715
Hg 3.500 7.440 8.564
Hg 4.637 9.858 11.348
```

=====

Pr3SnHg2 | PBE | relaxed

Output
Total magnetic moment: 0.25 μB per formula unit
ΔE_f: -314 kJ/mol of formula units
SG: P4/mmm, No. 123
Energy above the most stable polymorph in this dataset: 15 meV per atom

Structure (extended XYZ):
```
6
Lattice="3.784 0.000 0.000 0.000 3.784 0.000 0.000 0.000 12.170" Properties=species:S:1:pos:R:3 pbc="T T T"
Pr 0.000 0.000 0.000
Pr 0.000 0.000 8.164
Pr 0.000 0.000 4.007
Sn 1.892 1.892 6.085
Hg 1.892 1.892 10.239
Hg 1.892 1.892 1.931
```

=====

Pr5Sn2Hg | PBE | relaxed

Output
Total magnetic moment: 0.00 μB per formula unit
ΔE_f: -396 kJ/mol of formula units
SG: I4/mcm, No. 140

Structure (extended XYZ):
```
16
Lattice="-1.617 7.725 2.824 -4.839 1.434 -6.692 -2.516 -7.102 5.546" Properties=species:S:1:pos:R:3 pbc="T T T"
Pr -5.895 0.011 0.782
Pr -6.830 5.597 -2.594
Pr 0.000 0.000 0.000
Pr -3.228 4.580 -1.934
Pr -2.141 -3.540 4.272
Pr -3.740 0.557 4.590
Pr -4.296 -4.086 0.464
Pr -5.231 1.500 -2.912
Pr -4.675 6.143 1.214
Pr -3.076 2.046 0.896
Sn -1.997 1.541 -2.099
Sn -1.654 5.062 0.905
Sn -4.801 4.097 -4.773
Sn -4.458 7.618 -1.769
Hg -6.099 3.318 -0.128
Hg -2.872 -1.261 1.806
```

=====

Pr3SnHg2 | PBE | relaxed

Output
Total magnetic moment: 0.00 μB per formula unit
ΔE_f: -323 kJ/mol of formula units
SG: Cmmm, No. 65
Energy above the most stable polymorph in this dataset: 0 meV per atom

Structure (extended XYZ):
```
6
Lattice="3.814 0.000 0.000 0.000 5.228 -1.731 0.000 0.010 8.791" Properties=species:S:1:pos:R:3 pbc="T T T"
Pr 1.907 2.614 -0.865
Pr 1.907 4.372 4.445
Pr 1.907 0.866 2.615
Sn 0.000 0.000 0.000
Hg 0.000 1.707 5.158
Hg 0.000 3.530 1.903
```

=====

Pr3Sn4Hg4 | PBE | relaxed

Output
Total magnetic moment: 0.00 μB per formula unit
ΔE_f: -367 kJ/mol of formula units
SG: Immm, No. 71

Structure (extended XYZ):
```
11
Lattice="4.859 0.000 0.000 0.000 4.357 0.000 -2.430 -2.179 14.470" Properties=species:S:1:pos:R:3 pbc="T T T"
Pr 0.000 2.179 10.340
Pr 2.430 0.000 4.130
Pr 0.000 0.000 0.000
Sn 2.430 0.000 9.037
Sn 0.000 0.000 13.065
Sn 2.430 2.179 1.405
Sn 0.000 2.179 5.432
Hg 0.000 0.000 7.427
Hg 0.000 2.179 2.695
Hg 2.430 0.000 11.774
Hg 2.430 2.179 7.043
```

=====

Pr5SnHg3 | PBE | relaxed

Output
Total magnetic moment: 0.20 μB per formula unit
ΔE_f: -394 kJ/mol of formula units
SG: P6_3/mcm, No. 193

Structure (extended XYZ):
```
18
Lattice="-0.992 -1.957 -6.319 7.873 -5.599 0.497 -8.644 -3.578 2.466" Properties=species:S:1:pos:R:3 pbc="T T T"
Pr 2.367 -4.926 1.154
Pr -3.634 -5.230 -1.350
Pr -3.138 -4.251 1.809
Pr 1.871 -5.904 -2.006
Pr -1.297 -8.045 -2.616
Pr 4.680 -8.081 -3.543
Pr 1.487 -3.054 -4.598
Pr -0.466 -3.089 -0.740
Pr -6.443 -3.054 0.187
Pr 5.394 -4.502 -1.223
Sn 0.000 0.000 0.000
Sn -0.496 -0.978 -3.160
Hg -1.039 -4.974 -3.607
Hg -6.085 -3.679 -3.216
Hg 4.120 -4.927 -4.432
Hg -0.724 -6.160 0.251
Hg 4.322 -7.456 -0.140
Hg 2.760 -2.629 -1.390
```

=====

Pr5Sn2Hg2 | PBE | relaxed

Output
Total magnetic moment: 0.00 μB per formula unit
ΔE_f: -460 kJ/mol of formula units
SG: Cmce, No. 64
Energy above the most stable polymorph in this dataset: 35 meV per atom

Structure (extended XYZ):
```
18
Lattice="8.327 0.000 0.000 0.000 8.342 0.000 0.000 -4.171 8.247" Properties=species:S:1:pos:R:3 pbc="T T T"
Pr 0.000 0.000 0.000
Pr 4.164 4.171 0.000
Pr 6.930 5.604 2.337
Pr 1.397 2.739 2.337
Pr 2.766 6.910 2.337
Pr 5.561 1.432 2.337
Pr 1.397 -1.432 5.910
Pr 6.930 1.432 5.910
Pr 5.561 -2.739 5.910
Pr 2.766 2.739 5.910
Sn 0.000 0.000 3.360
Sn 4.164 4.171 3.360
Sn 0.000 4.171 4.887
Sn 4.164 0.000 4.887
Hg 5.247 7.272 0.000
Hg 3.080 1.071 0.000
Hg 1.083 5.242 0.000
Hg 7.244 3.101 0.000
```

=====

Tb2PrSn2Hg2 | PBE | relaxed

Output
Total magnetic moment: 0.00 μB per formula unit
ΔE_f: -243 kJ/mol of formula units
SG: R-3m, No. 166

Structure (extended XYZ):
```
7
Lattice="5.009 0.000 0.000 2.504 4.338 0.000 2.504 1.446 9.037" Properties=species:S:1:pos:R:3 pbc="T T T"
Tb 2.504 1.446 5.470
Tb 7.513 4.338 3.567
Pr 0.000 0.000 0.000
Sn 7.513 4.338 7.260
Sn 2.504 1.446 1.777
Hg 5.009 2.892 2.711
Hg 5.009 2.892 6.326
```

=====

PrSn2HgTe4 | PBE | relaxed

Output
Total magnetic moment: 0.00 μB per formula unit
SG: P2/m, No. 10
Formation energy from raw total energies: -531 meV/atom

Structure (extended XYZ):
```
8
Lattice="-0.735 -2.275 -3.792 4.011 -6.219 2.954 -4.972 -4.874 3.887" Properties=species:S:1:pos:R:3 pbc="T T T"
Pr -0.481 -5.547 3.420
Sn -4.972 -4.874 3.887
Sn -2.853 -3.574 0.048
Hg 1.638 -4.247 -0.419
Te -0.703 -8.299 5.115
Te -0.993 -5.069 -2.066
Te 1.383 -7.103 1.343
Te -3.079 -6.266 1.706
```

=====

Pr4SnHgTe2 | PBE | relaxed

Output
Total magnetic moment: 0.00 μB per formula unit
SG: I-4m2, No. 119
Formation energy from raw total energies: -1018 meV/atom

Structure (extended XYZ):
```
8
Lattice="6.413 0.003 0.000 -0.003 6.413 0.000 -3.205 -3.208 6.412" Properties=species:S:1:pos:R:3 pbc="T T T"
Pr -0.002 3.207 0.035
Pr -0.002 3.207 6.377
Pr 3.205 3.208 3.201
Pr 0.000 0.000 3.211
Sn 3.205 3.208 0.000
Hg 3.207 0.002 3.206
Te -0.002 3.207 3.206
Te 0.000 0.000 0.000
```

=====

Pr6Sn2HgTe3 | PBE | relaxed

Output
Total magnetic moment: 0.00 μB per formula unit
SG: C2/m, No. 12
Formation energy from raw total energies: -1056 meV/atom

Structure (extended XYZ):
```
12
Lattice="4.526 0.000 0.000 0.000 9.161 0.059 -2.263 -2.919 9.588" Properties=species:S:1:pos:R:3 pbc="T T T"
Pr 0.000 6.444 6.440
Pr 2.263 4.276 3.282
Pr 2.263 -0.202 3.208
Pr 2.263 -0.589 9.585
Pr 0.000 6.831 0.062
Pr 0.000 1.966 6.365
Sn 2.263 4.215 6.494
Sn 0.000 2.027 3.153
Hg 2.263 0.000 0.000
Te 2.263 4.581 0.030
Te 2.263 -0.384 6.378
Te 0.000 6.626 3.270
```